Material: CeHfAs
Method: DFT, PBE
State: optimized geometry

a b c (Å): 3.786 4.647 4.647
angles (deg): 120.00 90.00 90.00
Each line ends with the local moment (μB).
Sites, in units of the cell vectors:
1 Hf 0.167 0.000 0.000  0.10
2 Ce 0.667 0.667 0.333  0.28
3 As 0.167 0.333 0.667  -0.01

The value obtained for the raw total energy is -7.277 eV/atom. Its offset from the most stable computed form is 398.5 meV per atom. The theoretical density is 9.228 g/cm3. The value obtained for the spin magnetization is 0.49 Bohr magnetons per cell.